# 1
DFT (GGA-PBE) results for Cr2ReTc after structural relaxation.

Its formation energy is 0.116 eV per atom. Its total magnetization is 0.000 μB/atom.

```
data_Cr2ReTc
_chemical_formula_sum 'Cr4 Re2 Tc2'
_cell_length_a 3.006
_cell_length_b 4.296
_cell_length_c 8.332
_cell_angle_alpha 90.00
_cell_angle_beta 90.00
_cell_angle_gamma 90.00
_symmetry_space_group_name_H-M 'I m m m'
_symmetry_Int_Tables_number 71
_symmetry_space_group_name_Hall '-I 2 2'
loop_
_atom_site_label
_atom_site_type_symbol
_atom_site_fract_x
_atom_site_fract_y
_atom_site_fract_z
_atom_site_occupancy
Cr1 Cr 0.000 0.000 0.245 1
Re1 Re 0.000 0.500 0.500 1
Tc1 Tc 0.000 0.500 0.000 1
```



# 2
DFT (GGA-PBE) results for Sr2YSnRu after structural relaxation.

Its formation energy is 0.037 eV per atom. Its total magnetization is 0.000 μB/atom.

```
data_Sr2YSnRu
_chemical_formula_sum 'Sr2 Y1 Sn1 Ru1'
_cell_length_a 5.722
_cell_length_b 5.722
_cell_length_c 5.184
_cell_angle_alpha 90.00
_cell_angle_beta 90.00
_cell_angle_gamma 90.00
_symmetry_space_group_name_H-M 'P 4/m m m'
_symmetry_Int_Tables_number 123
_symmetry_space_group_name_Hall '-P 4 2'
loop_
_atom_site_label
_atom_site_type_symbol
_atom_site_fract_x
_atom_site_fract_y
_atom_site_fract_z
_atom_site_occupancy
Sr1 Sr 0.000 0.500 0.000 1
Y1 Y 0.000 0.000 0.500 1
Sn1 Sn 0.500 0.500 0.500 1
Ru1 Ru 0.000 0.000 0.000 1
```



# 3
DFT (GGA-PBE) results for Zr3ScBi2 after structural relaxation.

Its formation energy is -0.275 eV per atom. Its total magnetization is 0.000 μB/atom.

```
data_Zr3ScBi2
_chemical_formula_sum 'Zr12 Sc4 Bi8'
_cell_length_a 17.651
_cell_length_b 3.942
_cell_length_c 9.380
_cell_angle_alpha 90.00
_cell_angle_beta 114.39
_cell_angle_gamma 90.00
_symmetry_space_group_name_H-M 'C 1 2/m 1'
_symmetry_Int_Tables_number 12
loop_
_symmetry_equiv_pos_as_xyz
'x,y,z'
'-x,-y,-z'
'-x,y,-z'
'x,-y,z'
'x+1/2,y+1/2,z'
'-x+1/2,-y+1/2,-z'
'-x+1/2,y+1/2,-z'
'x+1/2,-y+1/2,z'
loop_
_atom_site_label
_atom_site_type_symbol
_atom_site_fract_x
_atom_site_fract_y
_atom_site_fract_z
_atom_site_occupancy
Zr1 Zr 0.059 0.000 0.156 1
Zr2 Zr 0.141 0.500 0.979 1
Zr3 Zr 0.187 0.500 0.398 1
Sc1 Sc 0.110 0.000 0.604 1
Bi1 Bi 0.006 0.500 0.332 1
Bi2 Bi 0.247 0.500 0.775 1
```



# 4
DFT (GGA-PBE) results for BaZnFeP2 after structural relaxation.

Its formation energy is 0.808 eV per atom. Its total magnetization is 0.738 μB/atom.

```
data_BaZnFeP2
_chemical_formula_sum 'Ba1 Zn1 Fe1 P2'
_cell_length_a 4.730
_cell_length_b 4.730
_cell_length_c 5.765
_cell_angle_alpha 90.00
_cell_angle_beta 90.00
_cell_angle_gamma 90.00
_symmetry_space_group_name_H-M 'P 4/m m m'
_symmetry_Int_Tables_number 123
_symmetry_space_group_name_Hall '-P 4 2'
loop_
_atom_site_label
_atom_site_type_symbol
_atom_site_fract_x
_atom_site_fract_y
_atom_site_fract_z
_atom_site_occupancy
Ba1 Ba 0.000 0.000 0.000 1
Zn1 Zn 0.000 0.000 0.500 1
Fe1 Fe 0.500 0.500 0.000 1
P1 P 0.000 0.500 0.500 1
```



# 5
DFT (GGA-PBE) results for Pu2Mg3Hg3 after structural relaxation.

Its formation energy is -0.041 eV per atom. Its total magnetization is 1.520 μB/atom.

```
data_Pu2Mg3Hg3
_chemical_formula_sum 'Pu2 Mg3 Hg3'
_cell_length_a 8.6319
_cell_length_b 8.6319
_cell_length_c 3.0758
_cell_angle_alpha 90.00
_cell_angle_beta 90.00
_cell_angle_gamma 120.00
_symmetry_space_group_name_H-M 'P -6 2 m'
_symmetry_Int_Tables_number 189
_symmetry_space_group_name_Hall 'P -6 -2'
loop_
_atom_site_label
_atom_site_type_symbol
_atom_site_fract_x
_atom_site_fract_y
_atom_site_fract_z
_atom_site_occupancy
Pu1 Pu 0.3333 0.6667 0.0000 1
Mg1 Mg 0.0000 0.2329 0.0000 1
Hg1 Hg 0.0000 0.6625 0.5000 1
```



# 6
DFT (GGA-PBE) results for ThBeCo2 after structural relaxation.

Its formation energy is -0.242 eV per atom. Its total magnetization is 0.000 μB/atom.

```
data_ThBeCo2
_chemical_formula_sum 'Th3 Be3 Co6'
_cell_length_a 3.9631
_cell_length_b 3.9631
_cell_length_c 13.8254
_cell_angle_alpha 90.00
_cell_angle_beta 90.00
_cell_angle_gamma 120.00
_symmetry_space_group_name_H-M 'R -3 m'
_symmetry_Int_Tables_number 166
_symmetry_space_group_name_Hall '-R 3 2"'
loop_
_atom_site_label
_atom_site_type_symbol
_atom_site_fract_x
_atom_site_fract_y
_atom_site_fract_z
_atom_site_occupancy
Th1 Th 0.0000 0.0000 0.0000 1
Be1 Be 0.0000 0.0000 0.5000 1
Co1 Co 0.0000 0.0000 0.1927 1
```



| no. | density (g/cm3) |
| --- | --- |
| 1 | 11.984 |
| 2 | 4.735 |
| 3 | 8.230 |
| 4 | 4.127 |
| 5 | 9.728 |
| 6 | 9.508 |